1.
# Sm2CdC

An optimized crystal structure of Sm2CdC (PBE, Alexandria via LeMat-Bulk).

Calculated values
The calculation puts the calculated formation energy at 39 meV/atom.

Cell and atoms, written as CIF:
```
data_Sm2CdC
_symmetry_space_group_name_H-M 'P -6 m 2'
_symmetry_Int_Tables_number 187
_symmetry_space_group_name_Hall 'P -6 2'
_cell_length_a 3.6154
_cell_length_b 3.6154
_cell_length_c 8.5506
_cell_angle_alpha 90.00
_cell_angle_beta 90.00
_cell_angle_gamma 120.00
loop_
_atom_site_label
_atom_site_fract_x
_atom_site_fract_y
_atom_site_fract_z
Sm1 0.0000 0.0000 0.1726
Cd1 0.3333 0.6667 0.5000
C1 0.6667 0.3333 0.0000
```

2.
# TbSm2CdC

An optimized crystal structure of TbSm2CdC (PBE, Alexandria via LeMat-Bulk).

Calculated values
The calculation puts the calculated formation energy at -228 meV/atom.

Cell and atoms, written as CIF:
```
data_TbSm2CdC
_symmetry_space_group_name_H-M 'P 4/m m m'
_symmetry_Int_Tables_number 123
_symmetry_space_group_name_Hall '-P 4 2'
_cell_length_a 5.083
_cell_length_b 5.083
_cell_length_c 4.916
_cell_angle_alpha 90.00
_cell_angle_beta 90.00
_cell_angle_gamma 90.00
loop_
_atom_site_label
_atom_site_fract_x
_atom_site_fract_y
_atom_site_fract_z
Tb1 0.000 0.000 0.000
Sm1 0.000 0.500 0.500
Cd1 0.500 0.500 0.000
C1 0.000 0.000 0.500
```

3.
# Tb2SmCdC

An optimized crystal structure of Tb2SmCdC (PBE, Alexandria via LeMat-Bulk).

Calculated values
The calculation puts the calculated formation energy at -254 meV/atom.

Cell and atoms, written as CIF:
```
data_Tb2SmCdC
_symmetry_space_group_name_H-M 'P 4/m m m'
_symmetry_Int_Tables_number 123
_symmetry_space_group_name_Hall '-P 4 2'
_cell_length_a 4.940
_cell_length_b 4.940
_cell_length_c 5.099
_cell_angle_alpha 90.00
_cell_angle_beta 90.00
_cell_angle_gamma 90.00
loop_
_atom_site_label
_atom_site_fract_x
_atom_site_fract_y
_atom_site_fract_z
Tb1 0.000 0.500 0.000
Sm1 0.000 0.000 0.500
Cd1 0.500 0.500 0.500
C1 0.000 0.000 0.000
```

4.
# Sm2ThCdC

An optimized crystal structure of Sm2ThCdC (PBE, Alexandria via LeMat-Bulk).

Calculated values
The calculation puts the calculated formation energy at -207 meV/atom.

Cell and atoms, written as CIF:
```
data_Sm2ThCdC
_symmetry_space_group_name_H-M 'P 4/m m m'
_symmetry_Int_Tables_number 123
_symmetry_space_group_name_Hall '-P 4 2'
_cell_length_a 5.094
_cell_length_b 5.094
_cell_length_c 5.033
_cell_angle_alpha 90.00
_cell_angle_beta 90.00
_cell_angle_gamma 90.00
loop_
_atom_site_label
_atom_site_fract_x
_atom_site_fract_y
_atom_site_fract_z
Sm1 0.000 0.500 0.000
Th1 0.000 0.000 0.500
Cd1 0.500 0.500 0.500
C1 0.000 0.000 0.000
```

5.
# Sm2TmCdC

An optimized crystal structure of Sm2TmCdC (PBE, Alexandria via LeMat-Bulk).

Calculated values
The calculation puts the calculated formation energy at -253 meV/atom.

Cell and atoms, written as CIF:
```
data_Sm2TmCdC
_symmetry_space_group_name_H-M 'P 4/m m m'
_symmetry_Int_Tables_number 123
_symmetry_space_group_name_Hall '-P 4 2'
_cell_length_a 5.110
_cell_length_b 5.110
_cell_length_c 4.773
_cell_angle_alpha 90.00
_cell_angle_beta 90.00
_cell_angle_gamma 90.00
loop_
_atom_site_label
_atom_site_fract_x
_atom_site_fract_y
_atom_site_fract_z
Sm1 0.000 0.500 0.000
Tm1 0.000 0.000 0.500
Cd1 0.500 0.500 0.500
C1 0.000 0.000 0.000
```

6.
# SmY2CdC

An optimized crystal structure of SmY2CdC (PBE, Alexandria via LeMat-Bulk).

Calculated values
The calculation puts the calculated formation energy at -288 meV/atom.

Cell and atoms, written as CIF:
```
data_SmY2CdC
_symmetry_space_group_name_H-M 'P 4/m m m'
_symmetry_Int_Tables_number 123
_symmetry_space_group_name_Hall '-P 4 2'
_cell_length_a 4.917
_cell_length_b 4.917
_cell_length_c 5.125
_cell_angle_alpha 90.00
_cell_angle_beta 90.00
_cell_angle_gamma 90.00
loop_
_atom_site_label
_atom_site_fract_x
_atom_site_fract_y
_atom_site_fract_z
Sm1 0.000 0.000 0.000
Y1 0.000 0.500 0.500
Cd1 0.500 0.500 0.000
C1 0.000 0.000 0.500
```

7.
# CdSnC2

An optimized crystal structure of CdSnC2 (PBE, Alexandria via LeMat-Bulk).

Calculated values
The calculation puts the calculated formation energy at 2156 meV/atom.

Cell and atoms, written as CIF:
```
data_CdSnC2
_symmetry_space_group_name_H-M 'F m -3 m'
_symmetry_Int_Tables_number 225
_symmetry_space_group_name_Hall '-F 4 2 3'
_cell_length_a 6.121
_cell_length_b 6.121
_cell_length_c 6.121
_cell_angle_alpha 90.00
_cell_angle_beta 90.00
_cell_angle_gamma 90.00
loop_
_atom_site_label
_atom_site_fract_x
_atom_site_fract_y
_atom_site_fract_z
Cd1 0.000 0.000 0.000
Sn1 0.000 0.000 0.500
C1 0.250 0.250 0.250
```

8.
# CdSnC2

An optimized crystal structure of CdSnC2 (PBE, Alexandria via LeMat-Bulk).

Calculated values
The calculation puts the calculated formation energy at 1471 meV/atom.

Cell and atoms, written as CIF:
```
data_CdSnC2
_symmetry_space_group_name_H-M 'I -4 2 d'
_symmetry_Int_Tables_number 122
_symmetry_space_group_name_Hall 'I -4 2bw'
_cell_length_a 5.218
_cell_length_b 5.218
_cell_length_c 10.051
_cell_angle_alpha 90.00
_cell_angle_beta 90.00
_cell_angle_gamma 90.00
loop_
_atom_site_label
_atom_site_fract_x
_atom_site_fract_y
_atom_site_fract_z
Cd1 0.000 0.000 0.000
Sn1 0.000 0.000 0.500
C1 0.233 0.250 0.625
```

9.
# Cd3SnC

An optimized crystal structure of Cd3SnC (PBE, Alexandria via LeMat-Bulk).

Calculated values
The calculation puts the calculated formation energy at 1582 meV/atom.

Cell and atoms, written as CIF:
```
data_Cd3SnC
_symmetry_space_group_name_H-M 'P m -3 m'
_symmetry_Int_Tables_number 221
_symmetry_space_group_name_Hall '-P 4 2 3'
_cell_length_a 5.620
_cell_length_b 5.620
_cell_length_c 5.620
_cell_angle_alpha 90.00
_cell_angle_beta 90.00
_cell_angle_gamma 90.00
loop_
_atom_site_label
_atom_site_fract_x
_atom_site_fract_y
_atom_site_fract_z
Cd1 0.000 0.000 0.500
Sn1 0.000 0.000 0.000
C1 0.500 0.500 0.500
```

10.
# CdSn2C

An optimized crystal structure of CdSn2C (PBE, Alexandria via LeMat-Bulk).

Calculated values
The calculation puts the calculated formation energy at 1310 meV/atom.

Cell and atoms, written as CIF:
```
data_CdSn2C
_symmetry_space_group_name_H-M 'F m -3 m'
_symmetry_Int_Tables_number 225
_symmetry_space_group_name_Hall '-F 4 2 3'
_cell_length_a 6.947
_cell_length_b 6.947
_cell_length_c 6.947
_cell_angle_alpha 90.00
_cell_angle_beta 90.00
_cell_angle_gamma 90.00
loop_
_atom_site_label
_atom_site_fract_x
_atom_site_fract_y
_atom_site_fract_z
Cd1 0.000 0.000 0.000
Sn1 0.250 0.250 0.250
C1 0.000 0.000 0.500
```

11.
# Cd3SnC

An optimized crystal structure of Cd3SnC (PBE, Alexandria via LeMat-Bulk).

Calculated values
The calculation puts the calculated formation energy at 776 meV/atom.

Cell and atoms, written as CIF:
```
data_Cd3SnC
_symmetry_space_group_name_H-M 'P m -3 m'
_symmetry_Int_Tables_number 221
_symmetry_space_group_name_Hall '-P 4 2 3'
_cell_length_a 4.737
_cell_length_b 4.737
_cell_length_c 4.737
_cell_angle_alpha 90.00
_cell_angle_beta 90.00
_cell_angle_gamma 90.00
loop_
_atom_site_label
_atom_site_fract_x
_atom_site_fract_y
_atom_site_fract_z
Cd1 0.000 0.000 0.500
Sn1 0.500 0.500 0.500
C1 0.000 0.000 0.000
```

12.
# CdSn3C

An optimized crystal structure of CdSn3C (PBE, Alexandria via LeMat-Bulk).

Calculated values
The calculation puts the calculated formation energy at 1847 meV/atom.

Cell and atoms, written as CIF:
```
data_CdSn3C
_symmetry_space_group_name_H-M 'P m -3 m'
_symmetry_Int_Tables_number 221
_symmetry_space_group_name_Hall '-P 4 2 3'
_cell_length_a 5.506
_cell_length_b 5.506
_cell_length_c 5.506
_cell_angle_alpha 90.00
_cell_angle_beta 90.00
_cell_angle_gamma 90.00
loop_
_atom_site_label
_atom_site_fract_x
_atom_site_fract_y
_atom_site_fract_z
Cd1 0.000 0.000 0.000
Sn1 0.000 0.000 0.500
C1 0.500 0.500 0.500
```